Ca3Ni2Ge2, relaxed, DFT PBE; ΔH_f (0 K) = -0.545 eV per atom; space group = Pbcm, No. 57
1.0
-2.5423 -5.0196 0.0323
3.2293 -1.6817 -7.1717
10.2699 -5.1639 5.8352
Ca Ni Ge
12 8 8
Cartesian
2.7019 -2.2423 -3.7916
5.2461 -8.1101 0.7779
2.2385 -6.5819 1.5274
11.7271 -6.7962 -1.1220
8.2549 -9.6229 2.4874
5.7107 -3.7552 -2.0820
8.7183 -5.2833 -2.8316
-0.7703 -5.0691 -0.1821
2.5118 -3.4903 -0.3895
8.4450 -8.3750 -0.9146
3.3702 -5.8243 -3.9658
7.5866 -6.0409 2.6616
0.8355 -4.3366 -2.9066
6.7184 -5.8176 -0.3310
6.4505 -5.7092 -4.5665
7.9094 -7.8672 5.1959
10.1213 -7.5287 1.6025
4.2385 -6.0477 -0.9731
4.5064 -6.1561 3.2624
3.0475 -3.9981 -6.5001
-0.1848 -2.3793 -1.7803
6.0067 -6.9040 -2.4414
0.8718 -4.3220 -5.3591
4.9501 -4.9613 1.1373
1.7993 -6.1262 -1.4682
9.1575 -5.7391 0.1641
5.0679 -3.7015 -5.0751
5.8889 -8.1638 3.7710